No. 1
# AlGaH PBE optimized geometry
data_AlGaH
_space_group_name_H-M_alt 'C 1 m 1'
_space_group_IT_number 8
_cell_length_a 2.8047
_cell_length_b 4.8591
_cell_length_c 6.2563
_cell_angle_alpha 90.00
_cell_angle_beta 90.13
_cell_angle_gamma 90.00
loop_
_space_group_symop_operation_xyz
'x,y,z'
'x,-y,z'
'x+1/2,y+1/2,z'
'x+1/2,-y+1/2,z'
loop_
_atom_site_label
_atom_site_type_symbol
_atom_site_fract_x
_atom_site_fract_y
_atom_site_fract_z
Al1 Al 0.0000 0.0000 0.0000
Ga1 Ga 0.0054 0.0000 0.5605
H1 H 0.0032 0.0000 0.2817
# **Calculated volume**: 14.211 A^3/atom
# **Energy above the most stable polymorph in this dataset**: 0.052 eV/atom
# **DFT total energy**: -3.233 eV per atom
# **ρ**: 3.81 g cm⁻³

No. 2
# AlGaH2 PBE optimized geometry
data_AlGaH2
_space_group_name_H-M_alt 'I -4 2 d'
_space_group_IT_number 122
_space_group_name_Hall 'I -4 2bw'
_cell_length_a 4.2597
_cell_length_b 4.2597
_cell_length_c 10.8014
_cell_angle_alpha 90.00
_cell_angle_beta 90.00
_cell_angle_gamma 90.00
loop_
_atom_site_label
_atom_site_type_symbol
_atom_site_fract_x
_atom_site_fract_y
_atom_site_fract_z
Al1 Al 0.0000 0.0000 0.0000
Ga1 Ga 0.0000 0.0000 0.5000
H1 H 0.0963 0.2500 0.1250
# **Calculated volume**: 12.250 A^3/atom
# **Energy above the most stable polymorph in this dataset**: 0.021 eV/atom
# **DFT total energy**: -3.033 eV per atom
# **ρ**: 3.35 g cm⁻³

No. 3
# AlGaH PBE optimized geometry
data_AlGaH
_space_group_name_H-M_alt 'C 1 c 1'
_space_group_IT_number 9
_cell_length_a 13.6942
_cell_length_b 5.1086
_cell_length_c 9.9859
_cell_angle_alpha 90.00
_cell_angle_beta 130.54
_cell_angle_gamma 90.00
loop_
_space_group_symop_operation_xyz
'x,y,z'
'x,-y,z+1/2'
'x+1/2,y+1/2,z'
'x+1/2,-y+1/2,z+1/2'
loop_
_atom_site_label
_atom_site_type_symbol
_atom_site_fract_x
_atom_site_fract_y
_atom_site_fract_z
Al1 Al 0.0000 0.1030 0.0000
Al2 Al 0.0980 0.2276 0.7883
Al3 Al 0.3882 0.1042 0.6315
Ga1 Ga 0.2383 0.4070 0.6886
Ga2 Ga 0.3304 0.3957 0.0434
Ga3 Ga 0.4531 0.0978 0.9447
H1 H 0.0507 0.4581 0.3160
H2 H 0.1028 0.0843 0.9498
H3 H 0.1268 0.0826 0.2283
# **Calculated volume**: 14.747 A^3/atom
# **Energy above the most stable polymorph in this dataset**: 0.086 eV/atom
# **DFT total energy**: -3.200 eV per atom
# **ρ**: 3.67 g cm⁻³